Y2SbRhC | PBE | relaxed

Lattice parameters (Å, degrees): 5.065 5.065 3.987 90.00 90.00 90.00
Positions (direct):
Rh  0.000  0.000  0.500
Y  0.000  0.500  0.000
Y  0.500  0.000  0.000
Sb  0.500  0.500  0.500
C  0.000  0.000  0.000

Output
Total energy (eV per atom): -7.330
Fermi-level density of states (states/eV/cell): 2.50
Size of the total moment (μB/cell): 0.0
Space group: No. 123
Energy relative to the elements, uncorrected (eV/atom): -0.61